Record 1
The following is a DFT calculation (meta-GGA SCAN) of a crystal of Tl3ReHg relaxed with PBEsol.

Results
For the total energy, the calculation gives -353.72 eV per cell. The calculation puts the formation energy at 523 meV per atom. As for the crystal system: cubic.

Lattice parameters (Å, degrees): 5.269 5.269 5.269 90.00 90.00 90.00
Space group Pm-3m (No. 221)
One atom of each set of equivalent atoms:
1 Tl 0.000 0.000 0.500 [3 per cell]
2 Re 0.000 0.000 0.000 [1 per cell]
3 Hg 0.500 0.500 0.500 [1 per cell]

Record 2
The following is a DFT calculation (meta-GGA SCAN) of a crystal of TlReHg relaxed with PBEsol.

Results
The calculation puts the relative energy among the computed polymorphs at 591 meV/atom. For the total energy, the calculation gives -825.99 eV per cell. The calculation puts the formation energy at 1708 meV per atom. As for the crystal system: cubic.

Lattice parameters (Å, degrees): 6.446 6.446 6.446 90.00 90.00 90.00
Space group F-43m (No. 216)
One atom of each set of equivalent atoms:
1 Tl 0.000 0.000 0.000 [4 per cell]
2 Re 0.250 0.250 0.250 [4 per cell]
3 Hg 0.250 0.250 0.750 [4 per cell]

Record 3
The following is a DFT calculation (meta-GGA SCAN) of a crystal of TlRe3Hg relaxed with PBEsol.

Results
For the total energy, the calculation gives -336.49 eV per cell. The calculation puts the formation energy at 3465 meV per atom. As for the crystal system: cubic.

Lattice parameters (Å, degrees): 4.881 4.881 4.881 90.00 90.00 90.00
Space group Pm-3m (No. 221)
One atom of each set of equivalent atoms:
1 Tl 0.000 0.000 0.000 [1 per cell]
2 Re 0.000 0.000 0.500 [3 per cell]
3 Hg 0.500 0.500 0.500 [1 per cell]

Record 4
The following is a DFT calculation (meta-GGA SCAN) of a crystal of TlReHg relaxed with PBEsol.

Results
The calculation puts the relative energy among the computed polymorphs at 67 meV/atom. For the total energy, the calculation gives -416.14 eV per cell. The calculation puts the formation energy at 1184 meV per atom. As for the crystal system: orthorhombic.

Lattice parameters (Å, degrees): 2.843 4.273 9.484 90.00 90.00 90.00
Space group Imm2 (No. 44)
One atom of each set of equivalent atoms:
1 Tl 0.000 0.000 0.000 [2 per cell]
2 Re 0.000 0.000 0.332 [2 per cell]
3 Hg 0.000 0.000 0.688 [2 per cell]